Record 1
{
  "formula": "CaIrPt",
  "functional": "PBE",
  "state": "optimized geometry",
  "cell": [[5.5759, -0.0036, 0.0000], [3.3138, 4.4843, 0.0000], [-4.4448, -2.2404, 2.5129]],
  "species": ["Ir", "Pt", "Ca"],
  "frac_coords": [[0.2842, 0.2842, 0.0000], [0.7149, 0.7149, 0.0000], [0.0009, 0.0009, 0.0000]],
  "polymorph_energy_mev_per_atom": 536,
  "dft_energy_ev_per_atom": -5.80,
  "formation_energy_mev_per_atom": -165,
  "sg": "I4mm",
  "m_tot_mub_per_cell": 0.00
}

Record 2
{
  "formula": "V5As3",
  "functional": "PBE",
  "state": "optimized geometry",
  "cell": [[-0.6545, -5.7900, -4.1196], [1.0347, 1.6895, 6.8556], [-6.8108, 2.0957, -0.3799]],
  "species": ["V", "V", "As", "V", "As", "V", "V", "As", "As", "V", "V", "As", "V", "As", "V", "V"],
  "frac_coords": [[0.0776, 0.7732, 0.8508], [0.2732, 0.5776, 0.8508], [0.3358, 0.8358, 0.1716], [0.7500, 0.2500, 0.5000], [0.1642, 0.3358, 0.5000], [0.4224, 0.2732, 0.6956], [0.7732, 0.9224, 0.6956], [0.8358, 0.6642, 0.5000], [0.6642, 0.1642, 0.8284], [0.9224, 0.2268, 0.1492], [0.2268, 0.0776, 0.3044], [0.7500, 0.7500, 0.0000], [0.5776, 0.7268, 0.3044], [0.2500, 0.2500, 0.0000], [0.2500, 0.7500, 0.5000], [0.7268, 0.4224, 0.1492]],
  "dft_energy_ev_per_atom": -7.88,
  "formation_energy_mev_per_atom": -434,
  "sg": "I4/mcm",
  "m_tot_mub_per_cell": 0.00
}

Record 3
{
  "formula": "Th2TaCu3Ni12",
  "functional": "PBE",
  "state": "optimized geometry",
  "cell": [[-6.3798, -5.9509, -1.9132], [-2.3936, -8.3156, 2.2127], [-6.7217, -4.2659, 4.0491]],
  "species": ["Cu", "Ni", "Cu", "Ni", "Ni", "Th", "Cu", "Ni", "Ni", "Ni", "Ni", "Ni", "Ni", "Th", "Ta", "Ni", "Ni", "Ni"],
  "frac_coords": [[0.0000, 0.5000, 0.0000], [0.1170, 0.1170, 0.5726], [0.0000, 0.0000, 0.5000], [0.5821, 0.5821, 0.2013], [0.4179, 0.7987, 0.4179], [0.3597, 0.3597, 0.3597], [0.5000, 0.0000, 0.0000], [0.4274, 0.8830, 0.8830], [0.8830, 0.4274, 0.8830], [0.5726, 0.1170, 0.1170], [0.2013, 0.5821, 0.5821], [0.4179, 0.4179, 0.7987], [0.7987, 0.4179, 0.4179], [0.6403, 0.6403, 0.6403], [0.0000, 0.0000, 0.0000], [0.5821, 0.2013, 0.5821], [0.1170, 0.5726, 0.1170], [0.8830, 0.8830, 0.4274]],
  "dft_energy_ev_per_atom": -5.86,
  "formation_energy_mev_per_atom": 155,
  "sg": "R-3m",
  "m_tot_mub_per_cell": 0.00
}

Record 4
{
  "formula": "Pm2Pr6In3",
  "functional": "PBE",
  "state": "optimized geometry",
  "cell": [[4.6813, 0.0000, 0.0000], [0.0000, 4.6813, 0.0000], [-2.3407, -2.3407, 17.2373]],
  "species": ["Pr", "Pm", "Pr", "Pm", "Pr", "Pr", "Pr", "Pr", "In", "In", "In"],
  "frac_coords": [[0.2867, 0.2867, 0.5734], [0.4573, 0.4573, 0.9147], [0.7133, 0.7133, 0.4266], [0.5427, 0.5427, 0.0853], [0.6250, 0.1250, 0.2499], [0.8750, 0.3750, 0.7501], [0.3750, 0.8750, 0.7501], [0.1250, 0.6250, 0.2499], [0.0000, 0.0000, 0.0000], [0.8077, 0.8077, 0.6153], [0.1923, 0.1923, 0.3847]],
  "dft_energy_ev_per_atom": -4.24,
  "formation_energy_mev_per_atom": -23,
  "sg": "I4/mmm",
  "m_tot_mub_per_cell": 0.00
}